No. 1
Ba2NiGePd6 | PBE-GGA | optimized geometry

Energy of formation from the pure elements in eV/atom: -0.409
Total magnetic moment in μB/cell: 0.00
Crystal system: triclinic
N(E_F) in states/eV/cell: 6.2
Space group: P-1, No. 2

Cell: 6.656 6.667 6.672 Å, 61.97 62.09 62.07°
Atoms (fractional coordinates):
Ba (0.204, 0.203, 0.204)
Ba (0.796, 0.797, 0.796)
Ni (0.000, 0.000, 0.000)
Ge (0.500, 0.500, 0.500)
Pd (0.244, 0.247, 0.649)
Pd (0.248, 0.649, 0.244)
Pd (0.350, 0.755, 0.753)
Pd (0.650, 0.245, 0.247)
Pd (0.752, 0.351, 0.756)
Pd (0.756, 0.753, 0.351)

---

No. 2
Ba2NiGe3Pt12 | PBE-GGA | optimized geometry

Energy of formation from the pure elements in eV/atom: -0.139
Total magnetic moment in μB/cell: 0.46
Crystal system: trigonal
N(E_F) in states/eV/cell: 12.2
Space group: R-3m, No. 166

Cell: 8.093 8.093 8.093 Å, 61.57 61.57 61.57°
Atoms (fractional coordinates):
Ba (0.125, 0.125, 0.125)
Ba (0.875, 0.875, 0.875)
Ni (0.500, 0.500, 0.500)
Ge (0.000, 0.500, 0.500)
Ge (0.500, 0.000, 0.500)
Ge (0.500, 0.500, 0.000)
Pt (0.140, 0.140, 0.607)
Pt (0.140, 0.607, 0.140)
Pt (0.141, 0.613, 0.613)
Pt (0.387, 0.387, 0.859)
Pt (0.387, 0.859, 0.387)
Pt (0.393, 0.860, 0.860)
Pt (0.607, 0.140, 0.140)
Pt (0.613, 0.141, 0.613)
Pt (0.613, 0.613, 0.141)
Pt (0.859, 0.387, 0.387)
Pt (0.860, 0.393, 0.860)
Pt (0.860, 0.860, 0.393)